Below is an optimized crystal structure of Nd2PuSe, with properties calculated at the PBE level.

Results
Density of states at the Fermi level = 8.0 states/eV/cell
Crystal system = trigonal
Uncorrected energy = -30.02 eV/f.u.
Symmetry = R-3m (166)

Unit cell a=3.884 b=3.884 c=9.821 alpha=78.60 beta=78.60 gamma=60.00
Each line ends with the local moment (μB).
Fractional positions:
Se  0.000  0.000  0.000  0.03
Nd  0.734  0.734  0.797  0.18
Nd  0.266  0.266  0.203  0.18
Pu  0.500  0.500  0.500  5.79


Below is an optimized crystal structure of Ni2AsOs, with properties calculated at the PBE level.

Results
Energy relative to the elements = 19 kJ/mol of atoms
Density of states at the Fermi level = 4.1 states/eV/cell
Crystal system = orthorhombic
Symmetry = Immm (71)

Unit cell a=4.918 b=4.918 c=4.918 alpha=146.17 beta=128.75 gamma=62.84
Fractional positions:
As  0.250  0.750  0.500
Ni  0.478  0.478  0.000
Ni  0.022  0.022  0.000
Os  0.750  0.250  0.500


Below is an optimized crystal structure of Ti7H2Pb2, with properties calculated at the PBE level.

Results
Density of states at the Fermi level = 9.3 states/eV/cell
Crystal system = monoclinic
Uncorrected energy = -70.18 eV/f.u.
Symmetry = C2/m (12)

Unit cell a=5.601 b=5.721 c=5.601 alpha=85.19 beta=79.83 gamma=94.81
Fractional positions:
H  0.745  0.993  0.255
H  0.255  0.007  0.745
Ti  0.831  0.156  0.501
Ti  0.335  0.336  0.665
Ti  0.501  0.844  0.831
Ti  0.665  0.664  0.335
Ti  0.000  0.000  0.000
Ti  0.499  0.156  0.169
Ti  0.169  0.844  0.499
Pb  0.178  0.500  0.178
Pb  0.822  0.500  0.822


Question: Among the records above, which one has the highest density of states at the Fermi level?
Answer: Ti7H2Pb2


Question: The highest density of states at the Fermi level belongs to which entry?
Answer: Ti7H2Pb2